[1]
A relaxed structure of LiSc2PaSe4. Source: Alexandria, functional GGA-PBE.

Lattice parameters (Å, degrees): 6.810 3.888 6.885 90.00 108.64 90.00
Space group P2/m (No. 10)
Unique sites:
1 Li 0.000 0.000 0.000 x1
2 Sc 0.500 0.000 0.500 x1
3 Sc 0.500 0.500 0.000 x1
4 Pa 0.000 0.500 0.500 x1
5 Se 0.257 0.500 0.245 x2
6 Se 0.261 0.000 0.766 x2

[2]
A relaxed structure of RbRhPb3. Source: Alexandria, functional GGA-PBE.

**ΔE to the lowest computed polymorph**: 0.035 eV/atom
**Energy of formation from the pure elements**: -46.5 meV/atom

Lattice parameters (Å, degrees): 6.431 7.061 7.622 117.58 91.21 90.07
Space group P-1 (No. 2)
Unique sites:
1 Rb 0.010 0.139 0.279 x2
2 Rh 0.289 0.616 0.232 x2
3 Pb 0.141 0.402 0.804 x2
4 Pb 0.500 0.000 0.500 x1
5 Pb 0.500 0.231 0.000 x2
6 Pb 0.500 0.500 0.500 x1

[3]
A relaxed structure of B2H6I. Source: Alexandria, functional GGA-PBE.

**ΔE to the lowest computed polymorph**: 0.000 eV/atom

Lattice parameters (Å, degrees): 3.388 3.513 9.904 94.05 94.21 97.82
Space group P-1 (No. 2)
Unique sites:
1 B 0.020 0.021 0.088 x2
2 H 0.195 0.192 0.851 x2
3 H 0.195 0.816 0.001 x2
4 H 0.263 0.263 0.149 x2
5 I 0.500 0.000 0.500 x1

[4]
A relaxed structure of CrCd. Source: Alexandria, functional GGA-PBE.

**Energy of formation from the pure elements**: 1428.4 meV/atom

Lattice parameters (Å, degrees): 7.839 7.839 7.839 90.00 90.00 90.00
Space group Pm-3n (No. 223)
Unique sites:
1 Cr 0.000 0.250 0.500 x6
2 Cd 0.000 0.500 0.250 x6

[5]
A relaxed structure of PaHW. Source: Alexandria, functional GGA-PBE.

**ΔE to the lowest computed polymorph**: 0.000 eV/atom

Lattice parameters (Å, degrees): 3.239 5.333 5.487 103.41 102.91 94.09
Space group P-1 (No. 2)
Unique sites:
1 Pa 0.117 0.371 0.190 x2
2 H 0.386 0.756 0.508 x2
3 W 0.376 0.088 0.724 x2

[6]
A relaxed structure of PaAl3Pd2. Source: Alexandria, functional GGA-PBE.

**Energy of formation from the pure elements**: -618.5 meV/atom

Lattice parameters (Å, degrees): 16.527 4.170 9.918 90.00 107.11 90.00
Space group C2/m (No. 12)
Unique sites:
1 Pa 0.000 0.000 0.000 x2
2 Pa 0.156 0.000 0.708 x4
3 Al 0.000 0.500 0.500 x2
4 Al 0.045 0.000 0.360 x4
5 Al 0.132 0.500 0.199 x4
6 Al 0.166 0.500 0.957 x4
7 Al 0.215 0.000 0.385 x4
8 Pd 0.020 0.500 0.778 x4
9 Pd 0.141 0.500 0.456 x4
10 Pd 0.201 0.000 0.120 x4

[7]
A relaxed structure of K4Pu3ZrO12. Source: Alexandria, functional GGA-PBE.

Lattice parameters (Å, degrees): 8.487 8.487 8.487 90.00 90.00 90.00
Space group Im-3m (No. 229)
Unique sites:
1 K 0.250 0.250 0.250 x8
2 Pu 0.000 0.000 0.500 x6
3 Zr 0.000 0.000 0.000 x2
4 O 0.000 0.000 0.253 x12
5 O 0.000 0.250 0.500 x12

[8]
A relaxed structure of Li2ZnI. Source: Alexandria, functional GGA-PBE.

**ΔE to the lowest computed polymorph**: 0.037 eV/atom

Lattice parameters (Å, degrees): 7.270 7.270 7.270 90.00 90.00 90.00
Space group Fm-3m (No. 225)
Unique sites:
1 Li 0.250 0.250 0.250 x8
2 Zn 0.000 0.000 0.000 x4
3 I 0.000 0.000 0.500 x4

[9]
A relaxed structure of Ac2ZnHPt6. Source: Alexandria, functional GGA-PBE.

Lattice parameters (Å, degrees): 5.8634 5.8634 18.7828 90.00 90.00 120.00
Space group R-3m (No. 166, hexagonal axes)
Unique sites:
1 Ac 0.0000 0.0000 0.2226 x6
2 Zn 0.0000 0.0000 0.5000 x3
3 H 0.0000 0.0000 0.0000 x3
4 Pt 0.0070 0.5035 0.2727 x18

[10]
A relaxed structure of Sm2HoPt. Source: Alexandria, functional GGA-PBE.

**ΔE to the lowest computed polymorph**: 0.000 eV/atom
**Energy of formation from the pure elements**: -673.0 meV/atom

Lattice parameters (Å, degrees): 7.104 9.854 6.539 90.00 90.00 90.00
Space group Pnma (No. 62)
Unique sites:
1 Sm 0.182 0.061 0.177 x8
2 Ho 0.030 0.250 0.640 x4
3 Pt 0.114 0.750 0.952 x4

[11]
A relaxed structure of Li2BeCrIn. Source: Alexandria, functional GGA-PBE.

**Energy of formation from the pure elements**: 820.8 meV/atom

Lattice parameters (Å, degrees): 4.774 4.774 4.503 90.00 90.00 90.00
Space group P4/mmm (No. 123)
Unique sites:
1 Li 0.000 0.500 0.000 x2
2 Be 0.000 0.000 0.500 x1
3 Cr 0.000 0.000 0.000 x1
4 In 0.500 0.500 0.500 x1

[12]
A relaxed structure of La6HoMg. Source: Alexandria, functional GGA-PBE.

**Energy of formation from the pure elements**: -0.5 meV/atom

Lattice parameters (Å, degrees): 6.283 6.336 7.328 72.98 89.93 79.96
Space group P-1 (No. 2)
Unique sites:
1 La 0.002 0.499 0.246 x2
2 La 0.253 0.987 0.628 x2
3 La 0.259 0.994 0.124 x2
4 Ho 0.500 0.500 0.500 x1
5 Mg 0.500 0.500 0.000 x1

| no. | final energy (eV/cell) | calculated density (g cm⁻³) |
| --- | --- | --- |
| 1 | -49.82 | 6.19 |
| 2 | -39.35 | 8.77 |
| 3 | -35.01 | 2.21 |
| 4 | -46.09 | 3.40 |
| 5 | -50.67 | 15.50 |
| 6 | -208.92 | 8.00 |
| 7 | -334.55 | 6.36 |
| 8 | -30.49 | 3.56 |
| 9 | -169.13 | 15.06 |
| 10 | -91.00 | 9.59 |
| 11 | -15.81 | 3.07 |
| 12 | -35.74 | 6.19 |